# 1
# GGA-PBE K3NpBr6, optimized geometry
# calculated total energy: -4.227 eV/atom
# magnetization: 0.4000 μB per atom
# raw formation energy: -1600 meV per atom
# D(E_F): 0.519 states/eV/atom
data_K3NpBr6
_chemical_formula_sum 'K6 Np2 Br12'
_cell_length_a 7.906
_cell_length_b 8.505
_cell_length_c 13.921
_cell_angle_alpha 90.00
_cell_angle_beta 124.27
_cell_angle_gamma 90.00
_symmetry_space_group_name_H-M 'P 1 21/c 1'
_symmetry_Int_Tables_number 14
_symmetry_space_group_name_Hall '-P 2ybc'
loop_
_atom_site_label
_atom_site_fract_x
_atom_site_fract_y
_atom_site_fract_z
K1 0.000 0.000 0.000
K2 0.217 0.081 0.749
Np1 0.500 0.000 0.500
Br1 0.140 0.182 0.433
Br2 0.258 0.713 0.426
Br3 0.405 0.059 0.269

=====

# 2
# GGA-PBE KNpBr5, optimized geometry
# calculated total energy: -4.575 eV/atom
# magnetization: 0.4286 μB per atom
# raw formation energy: -1374 meV per atom
# D(E_F): 0.773 states/eV/atom
data_KNpBr5
_chemical_formula_sum 'K4 Np4 Br20'
_cell_length_a 12.893
_cell_length_b 8.886
_cell_length_c 11.211
_cell_angle_alpha 90.00
_cell_angle_beta 113.86
_cell_angle_gamma 90.00
_symmetry_space_group_name_H-M 'C 1 2/c 1'
_symmetry_Int_Tables_number 15
_symmetry_space_group_name_Hall '-C 2yc'
loop_
_atom_site_label
_atom_site_fract_x
_atom_site_fract_y
_atom_site_fract_z
K1 0.000 0.035 0.250
Np1 0.000 0.500 0.000
Br1 0.000 0.425 0.250
Br2 0.076 0.211 0.998
Br3 0.216 0.399 0.620